Entry 1:
# AcGa2Ni2

AcGa2Ni2 after structural relaxation (PBE, the Alexandria database).

volume	186	Å³/cell
space group	Fmmm
ΔE_f	-476	meV per atom
E above lowest polymorph	32.6	meV per atom

Lattice parameters (Å, degrees): 4.188 4.188 10.631 90.00 90.00 93.07
Positions (direct):
Ac (0.750, 0.750, 0.250)
Ac (0.250, 0.250, 0.750)
Ga (0.250, 0.750, 0.000)
Ga (0.750, 0.250, 0.500)
Ga (0.250, 0.750, 0.500)
Ga (0.750, 0.250, 0.000)
Ni (0.750, 0.750, 0.629)
Ni (0.250, 0.250, 0.129)
Ni (0.750, 0.750, 0.871)
Ni (0.250, 0.250, 0.371)



Entry 2:
# AcGaNi

AcGaNi after structural relaxation (PBE, the Alexandria database).

volume	306	Å³/cell
space group	P4_12_12
ΔE_f	-251	meV per atom
E above lowest polymorph	278.4	meV per atom

Lattice parameters (Å, degrees): 6.868 6.868 6.487 90.00 90.00 90.00
Positions (direct):
Ni (0.372, 0.372, 0.000)
Ni (0.628, 0.628, 0.500)
Ni (0.128, 0.872, 0.250)
Ni (0.872, 0.128, 0.750)
Ga (0.630, 0.370, 0.750)
Ga (0.870, 0.870, 0.500)
Ga (0.130, 0.130, 0.000)
Ga (0.370, 0.630, 0.250)
Ac (0.717, 0.283, 0.250)
Ac (0.783, 0.783, 0.000)
Ac (0.217, 0.217, 0.500)
Ac (0.283, 0.717, 0.750)



Entry 3:
# AcGa6Ni6

AcGa6Ni6 after structural relaxation (PBE, the Alexandria database).

volume	192	Å³/cell
space group	Immm
ΔE_f	-380	meV per atom

Lattice parameters (Å, degrees): 5.071 6.654 6.654 79.52 67.60 67.60
Positions (direct):
Ac (0.000, 0.000, 0.000)
Ga (0.352, 0.648, 0.648)
Ga (0.648, 0.352, 0.352)
Ga (0.000, 0.350, 0.650)
Ga (0.000, 0.650, 0.350)
Ga (0.296, 0.204, 0.204)
Ga (0.704, 0.796, 0.796)
Ni (0.000, 0.500, 0.000)
Ni (0.500, 0.500, 0.000)
Ni (0.000, 0.000, 0.500)
Ni (0.500, 0.000, 0.500)
Ni (0.500, 0.757, 0.243)
Ni (0.500, 0.243, 0.757)



Entry 4:
# AcGa12Ni4

AcGa12Ni4 after structural relaxation (PBE, the Alexandria database).

volume	345	Å³/cell
space group	Im-3
ΔE_f	-180	meV per atom

Lattice parameters (Å, degrees): 7.656 7.656 7.656 109.47 109.47 109.47
Positions (direct):
Ac (0.000, 0.000, 0.000)
Ga (0.775, 0.336, 0.111)
Ga (0.336, 0.561, 0.225)
Ga (0.889, 0.225, 0.664)
Ga (0.336, 0.111, 0.775)
Ga (0.111, 0.775, 0.336)
Ga (0.664, 0.439, 0.775)
Ga (0.561, 0.225, 0.336)
Ga (0.439, 0.775, 0.664)
Ga (0.664, 0.889, 0.225)
Ga (0.775, 0.664, 0.439)
Ga (0.225, 0.336, 0.561)
Ga (0.225, 0.664, 0.889)
Ni (0.000, 0.500, 0.000)
Ni (0.500, 0.000, 0.000)
Ni (0.500, 0.500, 0.500)
Ni (0.000, 0.000, 0.500)



Entry 5:
# AcGa6Ni

AcGa6Ni after structural relaxation (PBE, the Alexandria database).

volume	154	Å³/cell
space group	P4/mmm
ΔE_f	-442	meV per atom

Lattice parameters (Å, degrees): 4.375 4.375 8.048 90.00 90.00 90.00
Positions (direct):
Ac (0.000, 0.000, 0.000)
Ga (0.500, 0.000, 0.660)
Ga (0.000, 0.500, 0.660)
Ga (0.500, 0.500, 0.154)
Ga (0.500, 0.500, 0.846)
Ga (0.000, 0.500, 0.340)
Ga (0.500, 0.000, 0.340)
Ni (0.000, 0.000, 0.500)



Entry 6:
# Ac4Ga2Ni

Ac4Ga2Ni after structural relaxation (PBE, the Alexandria database).

volume	243	Å³/cell
space group	I4/mmm
ΔE_f	-208	meV per atom
E above lowest polymorph	39.3	meV per atom

Lattice parameters (Å, degrees): 5.459 5.459 9.024 107.60 107.60 90.00
Positions (direct):
Ni (0.000, 0.000, 0.000)
Ac (0.814, 0.814, 0.627)
Ac (0.186, 0.186, 0.373)
Ac (0.000, 0.500, 0.000)
Ac (0.500, 0.000, 0.000)
Ga (0.624, 0.624, 0.247)
Ga (0.376, 0.376, 0.753)



Entry 7:
# Ac6Ga2Ni

Ac6Ga2Ni after structural relaxation (PBE, the Alexandria database).

volume	643	Å³/cell
space group	P2_1/c
ΔE_f	-234	meV per atom

Lattice parameters (Å, degrees): 7.109 8.614 10.508 90.00 89.48 90.00
Positions (direct):
Ac (0.868, 0.961, 0.244)
Ac (0.850, 0.680, 0.559)
Ac (0.846, 0.676, 0.936)
Ac (0.654, 0.176, 0.564)
Ac (0.650, 0.180, 0.941)
Ac (0.632, 0.461, 0.256)
Ac (0.132, 0.039, 0.756)
Ac (0.150, 0.320, 0.441)
Ac (0.154, 0.324, 0.064)
Ac (0.346, 0.824, 0.436)
Ac (0.350, 0.820, 0.059)
Ac (0.368, 0.539, 0.744)
Ga (0.942, 0.384, 0.749)
Ga (0.558, 0.884, 0.751)
Ga (0.442, 0.116, 0.249)
Ga (0.058, 0.616, 0.251)
Ni (0.500, 0.500, 0.000)
Ni (0.000, 0.000, 0.500)



Entry 8:
# AcGa8Ni2

AcGa8Ni2 after structural relaxation (PBE, the Alexandria database).

volume	259	Å³/cell
space group	P4/mmm
ΔE_f	-76	meV per atom

Lattice parameters (Å, degrees): 5.634 5.634 8.173 90.00 90.00 90.00
Positions (direct):
Ac (0.500, 0.500, 0.500)
Ga (0.752, 0.752, 0.177)
Ga (0.752, 0.248, 0.823)
Ga (0.752, 0.752, 0.823)
Ga (0.752, 0.248, 0.177)
Ga (0.248, 0.752, 0.177)
Ga (0.248, 0.752, 0.823)
Ga (0.248, 0.248, 0.177)
Ga (0.248, 0.248, 0.823)
Ni (0.500, 0.000, 0.000)
Ni (0.000, 0.500, 0.000)



Entry 9:
# AcGa8Ni4

AcGa8Ni4 after structural relaxation (PBE, the Alexandria database).

volume	204	Å³/cell
space group	I4/mmm
ΔE_f	-369	meV per atom

Lattice parameters (Å, degrees): 5.200 6.780 6.780 81.54 67.45 67.45
Positions (direct):
Ac (0.000, 0.000, 0.000)
Ga (0.000, 0.349, 0.651)
Ga (0.000, 0.651, 0.349)
Ga (0.349, 0.651, 0.651)
Ga (0.651, 0.349, 0.349)
Ga (0.500, 0.771, 0.229)
Ga (0.500, 0.229, 0.771)
Ga (0.271, 0.229, 0.229)
Ga (0.729, 0.771, 0.771)
Ni (0.000, 0.000, 0.500)
Ni (0.500, 0.000, 0.500)
Ni (0.000, 0.500, 0.000)
Ni (0.500, 0.500, 0.000)



Entry 10:
# AcGa2Ni3

AcGa2Ni3 after structural relaxation (PBE, the Alexandria database).

volume	100	Å³/cell
space group	P6/mmm
ΔE_f	-457	meV per atom
E above lowest polymorph	0.0	meV per atom

Lattice parameters (Å, degrees): 3.840 5.488 5.489 120.00 90.00 90.00
Positions (direct):
Ac (0.000, 0.001, 0.000)
Ga (0.000, 0.335, 0.667)
Ga (0.000, 0.668, 0.333)
Ni (0.500, 0.001, 0.500)
Ni (0.500, 0.501, 0.500)
Ni (0.500, 0.501, 0.000)



Entry 11:
# AcGa2Ni

AcGa2Ni after structural relaxation (PBE, the Alexandria database).

volume	171	Å³/cell
space group	Cmmm
ΔE_f	-559	meV per atom
E above lowest polymorph	0.0	meV per atom

Lattice parameters (Å, degrees): 4.392 4.347 9.236 103.61 90.00 90.00
Positions (direct):
Ac (0.000, 0.859, 0.718)
Ac (0.000, 0.141, 0.282)
Ga (0.000, 0.500, 0.000)
Ga (0.500, 0.000, 0.000)
Ga (0.500, 0.709, 0.417)
Ga (0.500, 0.291, 0.583)
Ni (0.500, 0.570, 0.140)
Ni (0.500, 0.430, 0.860)



Entry 12:
# Ac2GaNi

Ac2GaNi after structural relaxation (PBE, the Alexandria database).

volume	126	Å³/cell
space group	R-3m
ΔE_f	352	meV per atom

Lattice parameters (Å, degrees): 3.774 3.774 10.460 79.61 79.61 60.00
Positions (direct):
Ni (0.000, 0.000, 0.000)
Ac (0.087, 0.087, 0.739)
Ac (0.913, 0.913, 0.261)
Ga (0.500, 0.500, 0.500)



Entry 13:
# Ac3Ga2Ni9

Ac3Ga2Ni9 after structural relaxation (PBE, the Alexandria database).

volume	248	Å³/cell
space group	Immm
ΔE_f	-312	meV per atom

Lattice parameters (Å, degrees): 4.068 8.172 8.172 74.31 75.59 75.59
Positions (direct):
Ac (0.000, 0.000, 0.000)
Ac (0.695, 0.305, 0.305)
Ac (0.305, 0.695, 0.695)
Ga (0.500, 0.274, 0.726)
Ga (0.500, 0.726, 0.274)
Ni (0.000, 0.500, 0.500)
Ni (0.697, 0.006, 0.599)
Ni (0.303, 0.994, 0.401)
Ni (0.697, 0.599, 0.006)
Ni (0.303, 0.401, 0.994)
Ni (0.895, 0.826, 0.384)
Ni (0.105, 0.174, 0.616)
Ni (0.895, 0.384, 0.826)
Ni (0.105, 0.616, 0.174)